DFT (GGA+U) results for ScWOF2 after structural relaxation.

a b c (Å): 4.183 4.183 4.232
angles (deg): 90.00 90.00 90.00
Space group P4/mmm (No. 123)
One atom of each set of equivalent atoms:
Sc1 0.000 0.000 0.000 (multiplicity 1)
W1 0.500 0.500 0.500 (multiplicity 1)
O1 0.000 0.000 0.500 (multiplicity 1)
F1 0.000 0.500 0.000 (multiplicity 2)

- spin magnetization (μB/atom) = 0.962
- N(E_F) (states/eV per cell) = 0.7
- DFT total energy (eV/cell) = -32.0